Computed, not measured: crystalline Tm2ThCo at its relaxed geometry at the PBE level of DFT.

Output
* crystal system: orthorhombic
* DFT formation energy: -0.22 eV/atom
* size of the total moment: 0.000 μB/f.u.

```
data_Tm2ThCo
_cell_length_a 6.900
_cell_length_b 9.495
_cell_length_c 6.223
_cell_angle_alpha 90.00
_cell_angle_beta 90.00
_cell_angle_gamma 90.00
_space_group_name_H-M_alt 'P n m a'
_space_group_IT_number 62
_space_group_name_Hall '-P 2ac 2n'
loop_
_atom_site_label
_atom_site_type_symbol
_atom_site_fract_x
_atom_site_fract_y
_atom_site_fract_z
Tm1 Tm 0.170 0.070 0.173
Th1 Th 0.052 0.250 0.658
Co1 Co 0.130 0.750 0.965
```